No. 1
# CaTl2F4, optimized geometry, DFT PBE
data_CaTl2F4
_chemical_formula_sum 'Ca4 Tl8 F16'
_cell_length_a 6.206
_cell_length_b 6.206
_cell_length_c 15.260
_cell_angle_alpha 101.73
_cell_angle_beta 101.73
_cell_angle_gamma 90.00
_space_group_name_H-M_alt 'P 1'
_space_group_IT_number 1
loop_
_space_group_symop_operation_xyz
'x,y,z'
loop_
_atom_site_label
_atom_site_fract_x
_atom_site_fract_y
_atom_site_fract_z
F1 0.828 0.328 0.656
F2 0.059 0.441 0.500
F3 0.559 0.559 0.500
F4 0.922 0.922 0.844
F5 0.309 0.191 0.000
F6 0.422 0.422 0.844
F7 0.172 0.672 0.344
F8 0.328 0.828 0.656
F9 0.672 0.172 0.344
F10 0.078 0.078 0.156
F11 0.191 0.691 0.000
F12 0.809 0.309 0.000
F13 0.941 0.941 0.500
F14 0.691 0.809 0.000
F15 0.441 0.059 0.500
F16 0.578 0.578 0.156
Ca1 0.000 0.000 0.000
Ca2 0.750 0.250 0.500
Ca3 0.500 0.500 0.000
Ca4 0.250 0.750 0.500
Tl1 0.328 0.328 0.656
Tl2 0.672 0.672 0.344
Tl3 0.922 0.422 0.844
Tl4 0.828 0.828 0.656
Tl5 0.422 0.922 0.844
Tl6 0.578 0.078 0.156
Tl7 0.172 0.172 0.344
Tl8 0.078 0.578 0.156
# * formation energy without anion corrections: -2.66 eV/atom
# * E_tot: -4.69 eV per atom
# * magnetic moment: 0.00 Bohr magnetons per cell
# * symmetry: I4_1/acd



No. 2
# CaTlF3, optimized geometry, DFT PBE
data_CaTlF3
_chemical_formula_sum 'Ca1 Tl1 F3'
_cell_length_a 4.510
_cell_length_b 4.510
_cell_length_c 4.510
_cell_angle_alpha 90.00
_cell_angle_beta 90.00
_cell_angle_gamma 90.00
_space_group_name_H-M_alt 'P 1'
_space_group_IT_number 1
loop_
_space_group_symop_operation_xyz
'x,y,z'
loop_
_atom_site_label
_atom_site_fract_x
_atom_site_fract_y
_atom_site_fract_z
F1 0.500 0.000 0.000
F2 0.000 0.500 0.000
F3 0.000 0.000 0.500
Ca1 0.000 0.000 0.000
Tl1 0.500 0.500 0.500
# * formation energy without anion corrections: -3.05 eV/atom
# * E_tot: -5.05 eV per atom
# * offset from the most stable computed form: 0.007 eV/atom
# * magnetic moment: 0.00 Bohr magnetons per cell
# * symmetry: Pm-3m